VASP calculation (PBE+U) on a relaxed structure of AcInMo2O8.

Values from the calculation:
VASP energy in eV/atom: -7.035
Fermi-level density of states in states/eV/atom: 0.0000

Unit cell a=7.3674 b=7.3674 c=7.3674 alpha=135.01 beta=135.01 gamma=65.51
Atoms (fractional coordinates):
Ac1 0.0000 0.0000 0.0000
In1 0.2500 0.7500 0.5000
Mo1 0.5000 0.5000 0.0000
Mo2 0.7500 0.2500 0.5000
O1 0.2760 0.6537 0.0819
O2 0.3463 0.4282 0.6223
O3 0.4308 0.0499 0.1487
O4 0.5718 0.1941 0.9181
O5 0.7179 0.5692 0.6191
O6 0.8059 0.7240 0.3777
O7 0.9012 0.2821 0.8513
O8 0.9501 0.0988 0.3809